Record 1
# TiMnTe2I

TiMnTe2I after structural relaxation (PBE-GGA, Alexandria via LeMat-Bulk).

extended XYZ file:
```
5
Lattice="5.3474 0.0000 0.0000 0.0000 5.3474 0.0000 0.0000 0.0000 5.6404" Properties=species:S:1:pos:R:3 pbc="T T T"
Ti 0.0000 0.0000 0.0000
Mn 2.6737 2.6737 2.8202
Te 0.0000 2.6737 0.0000
Te 2.6737 0.0000 0.0000
I 0.0000 0.0000 2.8202
```

Calculated values
The energy relative to the lowest polymorph listed for this composition is 0.0 meV/atom. The formation energy without anion corrections comes out at 0.21 eV/atom.

Record 2
# CoC2N3

CoC2N3 after structural relaxation (PBE-GGA, Alexandria via LeMat-Bulk).

extended XYZ file:
```
24
Lattice="6.1190 -5.7961 0.0000 6.1190 5.7961 0.0000 -0.0808 0.0000 5.0633" Properties=species:S:1:pos:R:3 pbc="T T T"
Co 6.0584 5.5496 3.7975
Co 6.0988 0.2855 1.2658
Co 6.0584 -0.2855 3.7975
Co 6.0988 -5.5496 1.2658
C 4.6411 3.6555 1.8876
C 4.7979 1.6335 0.7558
C 7.5565 3.6555 0.6441
C 7.3997 1.6335 1.7759
C 4.7575 -1.6335 3.2874
C 4.6007 -3.6555 4.4192
C 7.3593 -1.6335 4.3075
C 7.5161 -3.6555 3.1758
N 5.0642 4.6722 2.3867
N 4.1447 2.6826 1.2758
N 7.1334 4.6722 0.1450
N 4.8523 0.9790 4.7793
N 8.0529 2.6826 1.2559
N 4.8927 -0.9790 2.2476
N 7.2644 0.9790 2.8157
N 4.1042 -2.6826 3.8075
N 7.3049 -0.9790 0.2840
N 5.0238 -4.6722 4.9183
N 8.0125 -2.6826 3.7875
N 7.0930 -4.6722 2.6767
```

Calculated values
The energy relative to the lowest polymorph listed for this composition is 0.0 meV/atom. The formation energy without anion corrections comes out at 0.49 eV/atom.

Record 3
# AcMgCdAg2

AcMgCdAg2 after structural relaxation (PBE-GGA, Alexandria via LeMat-Bulk).

extended XYZ file:
```
5
Lattice="-2.2203 2.2203 6.4340 2.2203 -2.2203 6.4340 2.2203 2.2203 -6.4340" Properties=species:S:1:pos:R:3 pbc="T T T"
Ac 0.0000 0.0000 0.0000
Mg 0.0000 2.2203 3.2170
Cd 2.2203 0.0000 3.2170
Ag 0.0000 0.0000 5.0342
Ag 0.0000 0.0000 7.8338
```

Calculated values
Its uncorrected energy is -2.73 eV per atom.

Record 4
# NiAgOs3

NiAgOs3 after structural relaxation (PBE-GGA, Alexandria via LeMat-Bulk).

extended XYZ file:
```
5
Lattice="4.4520 0.0000 0.0000 0.0000 4.4520 0.0000 0.0000 0.0000 4.4520" Properties=species:S:1:pos:R:3 pbc="T T T"
Ni 0.0000 0.0000 0.0000
Ag 2.2260 2.2260 2.2260
Os 0.0000 0.0000 2.2260
Os 0.0000 2.2260 0.0000
Os 2.2260 0.0000 0.0000
```

Calculated values
The energy relative to the lowest polymorph listed for this composition is 0.0 meV/atom.

Number 1: mass density 5.0 g/cm³. Number 2: mass density 2.3 g/cm³. Number 3: mass density 7.6 g/cm³. Number 4: mass density 13.9 g/cm³.